Entry 1:
{"formula": "ScTaVC2", "functional": "PBE", "state": "optimized geometry", "lattice": [[4.015, 0.000, 0.000], [0.000, 4.015, 0.000], [0.000, 0.000, 4.655]], "species": ["Sc", "Ta", "V", "C", "C"], "frac_coords": [[0.000, 0.000, 0.000], [0.500, 0.500, 0.000], [0.500, 0.500, 0.500], [0.000, 0.500, 0.500], [0.500, 0.000, 0.500]]}

Entry 2:
{"formula": "Sr2CaSnAu6", "functional": "PBE", "state": "optimized geometry", "lattice": [[0.000, 5.396, 5.396], [5.396, 0.000, 5.396], [5.396, 5.396, 0.000]], "species": ["Sr", "Sr", "Ca", "Sn", "Au", "Au", "Au", "Au", "Au", "Au"], "frac_coords": [[0.250, 0.250, 0.250], [0.750, 0.750, 0.750], [0.000, 0.000, 0.000], [0.500, 0.500, 0.500], [0.254, 0.254, 0.746], [0.254, 0.746, 0.254], [0.254, 0.746, 0.746], [0.746, 0.254, 0.254], [0.746, 0.254, 0.746], [0.746, 0.746, 0.254]]}

Entry 3:
{"formula": "MgGa3Cu8", "functional": "PBE", "state": "optimized geometry", "lattice": [[4.929, 0.000, 0.000], [-2.464, 4.268, 0.000], [0.000, 0.000, 7.871]], "species": ["Mg", "Ga", "Ga", "Ga", "Cu", "Cu", "Cu", "Cu", "Cu", "Cu", "Cu", "Cu"], "frac_coords": [[0.000, 0.000, 0.000], [0.000, 0.000, 0.375], [0.667, 0.333, 0.502], [0.667, 0.333, 0.883], [0.163, 0.326, 0.685], [0.163, 0.837, 0.685], [0.333, 0.667, 0.437], [0.333, 0.667, 0.936], [0.503, 0.006, 0.189], [0.503, 0.497, 0.189], [0.674, 0.837, 0.685], [0.994, 0.497, 0.189]]}

Entry 4:
{"formula": "LiAlIn4", "functional": "PBE", "state": "optimized geometry", "lattice": [[0.000, 4.306, 4.306], [4.306, 0.000, 4.306], [4.306, 4.306, 0.000]], "species": ["Li", "Al", "In", "In", "In", "In"], "frac_coords": [[0.000, 0.000, 0.000], [0.750, 0.750, 0.750], [0.375, 0.375, 0.375], [0.375, 0.375, 0.875], [0.375, 0.875, 0.375], [0.875, 0.375, 0.375]]}

| no. | raw total energy (eV for the cell shown) | energy of formation from the pure elements (eV/atom) |
| --- | --- | --- |
| 1 | -38.9 | 1.377 |
| 2 | -30.9 | -0.188 |
| 3 | -44.0 | -0.044 |
| 4 | -15.5 | 0.182 |